DFT (PBE-GGA) results for a relaxed CrReAs crystal.

Geometry as POSCAR:
```
CrReAs
1.0
4.112 0.000 0.000
-2.056 3.561 0.000
0.000 0.000 2.838
As Cr Re
1 1 1
direct
0.000 0.000 0.167 As
0.667 0.333 0.166 Cr
0.333 0.667 0.667 Re
```

For the total energy, the calculation gives -26.050 eV/cell. The energy relative to the elements comes out at 0.22 eV/atom. The density of states at the Fermi level comes out at 1.1 states/eV/cell. As for the space-group type: P-6m2, No. 187.



DFT (PBE-GGA) results for a relaxed HfMg2PtRh crystal.

Geometry as POSCAR:
```
HfMg2PtRh
1.0
-2.832 -3.819 -0.186
2.454 -2.011 3.918
-3.042 2.110 2.988
Rh Mg Hf Pt
1 2 1 1
direct
0.500 0.500 0.500 Rh
0.000 0.000 0.500 Mg
0.500 0.000 0.000 Mg
0.000 0.500 0.000 Hf
0.000 0.000 0.000 Pt
```

For the total energy, the calculation gives -25.771 eV/cell. The energy relative to the elements comes out at 0.15 eV/atom. The density of states at the Fermi level comes out at 4.4 states/eV/cell. As for the space-group type: P4/mmm, No. 123.



DFT (PBE-GGA) results for a relaxed Na2PrBiSe4 crystal.

Geometry as POSCAR:
```
Na2PrBiSe4
1.0
4.282 0.000 0.000
0.000 7.407 0.124
0.000 -2.589 7.015
Na Pr Bi Se
2 1 1 4
direct
0.500 0.000 0.500 Na
0.000 0.500 0.500 Na
0.500 0.500 0.000 Pr
0.000 0.000 0.000 Bi
0.500 0.244 0.239 Se
0.500 0.756 0.761 Se
0.000 0.252 0.762 Se
0.000 0.748 0.238 Se
```

For the total energy, the calculation gives -34.885 eV/cell. The calculation puts the raw formation energy at -1.21 eV/atom. The density of states at the Fermi level comes out at 0.0 states/eV/cell. As for the space-group type: P2/m, No. 10.



DFT (PBE-GGA) results for a relaxed RbCd2Ga crystal.

Geometry as POSCAR:
```
RbCd2Ga
1.0
-2.257 2.399 -3.556
-2.489 -2.439 -3.369
-6.982 0.390 1.390
Rb Cd Ga
1 2 1
direct
0.496 0.496 0.512 Rb
0.007 0.007 0.979 Cd
0.300 0.300 0.101 Cd
0.697 0.697 0.909 Ga
```

For the total energy, the calculation gives -5.943 eV/cell. The energy relative to the elements comes out at -0.03 eV/atom. The density of states at the Fermi level comes out at 1.7 states/eV/cell. As for the space-group type: R3m, No. 160.



DFT (PBE-GGA) results for a relaxed Pr2Dy2Ho2Tm crystal.

Geometry as POSCAR:
```
Pr2Dy2Ho2Tm
1.0
-0.120 -1.634 -3.113
-4.137 -2.745 3.588
-10.578 4.863 -2.146
Pr Dy Ho Tm
2 2 2 1
direct
0.672 0.343 0.914 Pr
0.328 0.657 0.086 Pr
0.773 0.545 0.366 Dy
0.227 0.455 0.634 Dy
0.451 0.901 0.768 Ho
0.549 0.099 0.232 Ho
0.000 0.000 0.500 Tm
```

For the total energy, the calculation gives -31.791 eV/cell. The energy relative to the elements comes out at 0.09 eV/atom. The density of states at the Fermi level comes out at 11.2 states/eV/cell. As for the space-group type: C2/m, No. 12.



DFT (PBE-GGA) results for a relaxed Sc2AgAu crystal.

Geometry as POSCAR:
```
Sc2AgAu
1.0
8.003 -0.117 -0.070
7.228 3.438 -0.070
7.228 1.576 3.056
Ag Au Sc
1 1 2
direct
0.250 0.250 0.250 Ag
0.750 0.750 0.750 Au
0.003 0.003 0.003 Sc
0.497 0.497 0.497 Sc
```

For the total energy, the calculation gives -19.940 eV/cell. The energy relative to the elements comes out at -0.29 eV/atom. The density of states at the Fermi level comes out at 4.4 states/eV/cell. As for the space-group type: R-3m, No. 166.



DFT (PBE-GGA) results for a relaxed AlPd3Au crystal.

Geometry as POSCAR:
```
AlPd3Au
1.0
2.885 0.000 0.000
0.000 8.874 0.000
0.000 0.000 12.305
Al Pd Au
4 12 4
direct
0.250 0.133 0.871 Al
0.750 0.367 0.371 Al
0.750 0.867 0.129 Al
0.250 0.633 0.629 Al
0.250 0.155 0.466 Pd
0.750 0.345 0.966 Pd
0.750 0.845 0.534 Pd
0.250 0.655 0.034 Pd
0.250 0.367 0.766 Pd
0.750 0.133 0.266 Pd
0.750 0.633 0.234 Pd
0.250 0.867 0.734 Pd
0.250 0.091 0.075 Pd
0.750 0.409 0.575 Pd
0.750 0.909 0.925 Pd
0.250 0.591 0.425 Pd
0.250 0.380 0.170 Au
0.750 0.120 0.670 Au
0.750 0.620 0.830 Au
0.250 0.880 0.330 Au
```

For the total energy, the calculation gives -99.149 eV/cell. The energy relative to the elements comes out at -0.44 eV/atom. The density of states at the Fermi level comes out at 10.9 states/eV/cell. As for the space-group type: Pnma, No. 62.